Entry from the Alexandria database: an optimized crystal structure of K2HoTeS4 (GGA-PBE).

Geometry as extended XYZ:
```
16
Lattice="8.237 0.000 0.227 -0.005 8.237 0.227 -3.854 -3.857 6.123" Properties=species:S:1:pos:R:3 pbc="T T T"
K 4.118 0.000 0.114
K 2.191 -1.928 3.175
K -1.927 -1.928 3.061
K 4.116 4.119 0.227
Ho -0.003 4.118 0.114
Ho 6.307 2.191 3.402
Te 2.189 2.190 3.289
Te 4.383 -3.856 6.350
S -2.053 2.358 5.973
S 4.212 0.385 3.666
S 0.166 3.995 2.911
S 6.430 2.022 0.605
S 6.501 6.245 0.425
S 4.180 3.922 3.319
S 0.197 0.459 3.259
S -2.124 -1.864 6.153
```

Properties
Space group: C2/c
Calculated total energy: -70.7 eV/cell
ΔE_f (raw): -1118 meV per atom